! Y2Cd4Co PBE optimized geometry; values from VASP
! DOS at the Fermi energy, states/eV/cell: 6.97
! SG: I4/mmm, No. 139
! Calculated volume, Å³ per atom: 26.1
! Formation energy from the elements, kJ/mol of atoms: 14
&SYSTEM
  ibrav = 0, nat = 7, ntyp = 3
/
ATOMIC_SPECIES
Cd 112.41 Cd.upf
Co 58.93 Co.upf
Y 88.91 Y.upf
CELL_PARAMETERS angstrom
4.863 0.000 0.000
0.000 4.863 0.000
2.432 2.432 7.718
ATOMIC_POSITIONS crystal
Cd 0.000 0.500 0.000
Cd 0.834 0.834 0.332
Cd 0.166 0.166 0.668
Cd 0.500 0.000 0.000
Co 0.000 0.000 0.000
Y 0.364 0.364 0.271
Y 0.636 0.636 0.729

=====

! ZrCuRe2 PBE optimized geometry; values from VASP
! DOS at the Fermi energy, states/eV/cell: 3.29
! SG: P4/mmm, No. 123
! Calculated volume, Å³ per atom: 15.9
! Formation energy from the elements, kJ/mol of atoms: 9
&SYSTEM
  ibrav = 0, nat = 4, ntyp = 3
/
ATOMIC_SPECIES
Re 186.21 Re.upf
Zr 91.22 Zr.upf
Cu 63.55 Cu.upf
CELL_PARAMETERS angstrom
4.289 0.000 0.000
0.000 3.849 0.000
0.000 0.000 3.849
ATOMIC_POSITIONS crystal
Re 0.000 0.500 0.500
Re 0.000 0.000 0.000
Zr 0.500 0.500 0.000
Cu 0.500 0.000 0.500